Below is RbHf5 after structural relaxation, with properties calculated at the PBE-GGA level.

Computed properties:
DFT total energy	-46.4	eV per cell
space group	P-62m (189)

Unit cell a=5.741 b=5.741 c=5.223 alpha=90.00 beta=90.00 gamma=120.00
Atoms (fractional coordinates):
Rb 0.000 0.000 0.500
Hf 0.667 0.333 0.500
Hf 0.000 0.620 0.000
Hf 0.333 0.667 0.500
Hf 0.380 0.380 0.000
Hf 0.620 0.000 0.000